Tb2PmTh after structural relaxation. Source: the Alexandria database, functional PBE.

Results
crystal system: cubic
DFT formation energy: 0.6 eV per formula unit
spin magnetization: 0.00 Bohr magnetons per cell

abc: 5.703 5.703 5.703
angles: 60.00 60.00 60.00
Fractional coordinates of all 4 atoms:
Tb: 0.250 0.250 0.250
Tb: 0.750 0.750 0.750
Th: 0.500 0.500 0.500
Pm: 0.000 0.000 0.000